# 1
LaHf after structural relaxation. Source: the Alexandria database, functional PBE-GGA.

```
data_LaHf
_chemical_formula_sum 'La4 Hf4'
_cell_length_a 9.9351
_cell_length_b 9.1393
_cell_length_c 5.6179
_cell_angle_alpha 80.82
_cell_angle_beta 65.25
_cell_angle_gamma 33.93
_symmetry_space_group_name_H-M 'P 1'
_symmetry_Int_Tables_number 1
loop_
_symmetry_equiv_pos_as_xyz
'x,y,z'
loop_
_atom_site_label
_atom_site_type_symbol
_atom_site_fract_x
_atom_site_fract_y
_atom_site_fract_z
La1 La 0.0434 0.7066 0.0434
La2 La 0.2934 0.9566 0.2934
La3 La 0.7066 0.0434 0.7066
La4 La 0.9566 0.2934 0.9566
Hf1 Hf 0.2949 0.2949 0.4551
Hf2 Hf 0.4551 0.4551 0.2949
Hf3 Hf 0.5449 0.5449 0.7051
Hf4 Hf 0.7051 0.7051 0.5449
```

Output
- ΔE_f (meV per atom) = 427
- space group = Fddd, No. 70
- relative energy among the computed polymorphs (meV per atom) = 231
- crystal system = orthorhombic



# 2
TbHo2C3 after structural relaxation. Source: the Alexandria database, functional PBE-GGA.

```
data_TbHo2C3
_chemical_formula_sum 'Tb2 Ho4 C6'
_cell_length_a 6.9301
_cell_length_b 6.9301
_cell_length_c 6.9301
_cell_angle_alpha 131.70
_cell_angle_beta 85.87
_cell_angle_gamma 114.00
_symmetry_space_group_name_H-M 'P 1'
_symmetry_Int_Tables_number 1
loop_
_symmetry_equiv_pos_as_xyz
'x,y,z'
loop_
_atom_site_label
_atom_site_type_symbol
_atom_site_fract_x
_atom_site_fract_y
_atom_site_fract_z
Tb1 Tb 0.2771 0.0271 0.2500
Tb2 Tb 0.7229 0.9729 0.7500
Ho1 Ho 0.0944 0.6685 0.4260
Ho2 Ho 0.2575 0.3315 0.9260
Ho3 Ho 0.7425 0.6685 0.0740
Ho4 Ho 0.9056 0.3315 0.5740
C1 C 0.0000 0.0000 0.5000
C2 C 0.0000 0.1210 0.1210
C3 C 0.0000 0.5000 0.0000
C4 C 0.0000 0.8790 0.8790
C5 C 0.5000 0.1210 0.6210
C6 C 0.5000 0.8790 0.3790
```

Output
- ΔE_f (meV per atom) = -75
- space group = Imma, No. 74
- crystal system = orthorhombic



# 3
Cd2HgI after structural relaxation. Source: the Alexandria database, functional PBE-GGA.

```
data_Cd2HgI
_chemical_formula_sum 'Cd2 Hg1 I1'
_cell_length_a 5.5708
_cell_length_b 5.5708
_cell_length_c 5.5708
_cell_angle_alpha 60.00
_cell_angle_beta 60.00
_cell_angle_gamma 60.00
_symmetry_space_group_name_H-M 'P 1'
_symmetry_Int_Tables_number 1
loop_
_symmetry_equiv_pos_as_xyz
'x,y,z'
loop_
_atom_site_label
_atom_site_type_symbol
_atom_site_fract_x
_atom_site_fract_y
_atom_site_fract_z
Cd1 Cd 0.2500 0.2500 0.2500
Cd2 Cd 0.7500 0.7500 0.7500
Hg1 Hg 0.0000 0.0000 0.0000
I1 I 0.5000 0.5000 0.5000
```

Output
- space group = Fm-3m, No. 225
- relative energy among the computed polymorphs (meV per atom) = 169
- crystal system = cubic
- formation energy without anion corrections (eV/atom) = 0.073



# 4
TbTmOs after structural relaxation. Source: the Alexandria database, functional PBE-GGA.

```
data_TbTmOs
_chemical_formula_sum 'Tb1 Tm1 Os1'
_cell_length_a 6.9635
_cell_length_b 6.9635
_cell_length_c 6.9635
_cell_angle_alpha 151.90
_cell_angle_beta 151.90
_cell_angle_gamma 40.15
_symmetry_space_group_name_H-M 'P 1'
_symmetry_Int_Tables_number 1
loop_
_symmetry_equiv_pos_as_xyz
'x,y,z'
loop_
_atom_site_label
_atom_site_type_symbol
_atom_site_fract_x
_atom_site_fract_y
_atom_site_fract_z
Tb1 Tb 0.0000 0.0000 0.0000
Tm1 Tm 0.2517 0.2517 0.0000
Os1 Os 0.6287 0.6287 0.0000
```

Output
- ΔE_f (meV per atom) = -256
- space group = I4mm, No. 107
- relative energy among the computed polymorphs (meV per atom) = 0
- crystal system = tetragonal



# 5
Rb2Cu2Ag after structural relaxation. Source: the Alexandria database, functional PBE-GGA.

```
data_Rb2Cu2Ag
_chemical_formula_sum 'Rb4 Cu4 Ag2'
_cell_length_a 7.1814
_cell_length_b 7.1814
_cell_length_c 5.4386
_cell_angle_alpha 90.00
_cell_angle_beta 90.00
_cell_angle_gamma 90.00
_symmetry_space_group_name_H-M 'P 1'
_symmetry_Int_Tables_number 1
loop_
_symmetry_equiv_pos_as_xyz
'x,y,z'
loop_
_atom_site_label
_atom_site_type_symbol
_atom_site_fract_x
_atom_site_fract_y
_atom_site_fract_z
Rb1 Rb 0.1844 0.3156 0.0000
Rb2 Rb 0.3156 0.8156 0.0000
Rb3 Rb 0.6844 0.1844 0.0000
Rb4 Rb 0.8156 0.6844 0.0000
Cu1 Cu 0.1214 0.6214 0.5000
Cu2 Cu 0.3786 0.1214 0.5000
Cu3 Cu 0.6214 0.8786 0.5000
Cu4 Cu 0.8786 0.3786 0.5000
Ag1 Ag 0.0000 0.0000 0.5000
Ag2 Ag 0.5000 0.5000 0.5000
```

Output
- ΔE_f (meV per atom) = 386
- space group = P4/mbm, No. 127
- relative energy among the computed polymorphs (meV per atom) = 43
- crystal system = tetragonal



# 6
Li2La2Rh after structural relaxation. Source: the Alexandria database, functional PBE-GGA.

```
data_Li2La2Rh
_chemical_formula_sum 'Li2 La2 Rh1'
_cell_length_a 5.4184
_cell_length_b 5.4184
_cell_length_c 5.4184
_cell_angle_alpha 117.11
_cell_angle_beta 117.11
_cell_angle_gamma 95.08
_symmetry_space_group_name_H-M 'P 1'
_symmetry_Int_Tables_number 1
loop_
_symmetry_equiv_pos_as_xyz
'x,y,z'
loop_
_atom_site_label
_atom_site_type_symbol
_atom_site_fract_x
_atom_site_fract_y
_atom_site_fract_z
Li1 Li 0.1482 0.1482 0.0000
Li2 Li 0.8518 0.8518 0.0000
La1 La 0.2500 0.7500 0.5000
La2 La 0.7500 0.2500 0.5000
Rh1 Rh 0.5000 0.5000 0.0000
```

Output
- ΔE_f (meV per atom) = 106
- space group = I4/mmm, No. 139
- relative energy among the computed polymorphs (meV per atom) = 124
- crystal system = tetragonal



# 7
Th3Sb2Pb after structural relaxation. Source: the Alexandria database, functional PBE-GGA.

```
data_Th3Sb2Pb
_chemical_formula_sum 'Th3 Sb2 Pb1'
_cell_length_a 7.8528
_cell_length_b 7.8528
_cell_length_c 7.8528
_cell_angle_alpha 146.44
_cell_angle_beta 131.86
_cell_angle_gamma 59.96
_symmetry_space_group_name_H-M 'P 1'
_symmetry_Int_Tables_number 1
loop_
_symmetry_equiv_pos_as_xyz
'x,y,z'
loop_
_atom_site_label
_atom_site_type_symbol
_atom_site_fract_x
_atom_site_fract_y
_atom_site_fract_z
Th1 Th 0.0000 0.0000 0.0000
Th2 Th 0.3310 0.3310 0.0000
Th3 Th 0.6690 0.6690 0.0000
Sb1 Sb 0.1659 0.6659 0.5000
Sb2 Sb 0.8341 0.3341 0.5000
Pb1 Pb 0.5000 0.0000 0.5000
```

Output
- space group = Immm, No. 71
- crystal system = orthorhombic
- formation energy without anion corrections (eV/atom) = -0.695



# 8
Zr3RhN after structural relaxation. Source: the Alexandria database, functional PBE-GGA.

```
data_Zr3RhN
_chemical_formula_sum 'Zr3 Rh1 N1'
_cell_length_a 4.4373
_cell_length_b 4.4373
_cell_length_c 4.4373
_cell_angle_alpha 90.00
_cell_angle_beta 90.00
_cell_angle_gamma 90.00
_symmetry_space_group_name_H-M 'P 1'
_symmetry_Int_Tables_number 1
loop_
_symmetry_equiv_pos_as_xyz
'x,y,z'
loop_
_atom_site_label
_atom_site_type_symbol
_atom_site_fract_x
_atom_site_fract_y
_atom_site_fract_z
Zr1 Zr 0.0000 0.0000 0.5000
Zr2 Zr 0.0000 0.5000 0.0000
Zr3 Zr 0.5000 0.0000 0.0000
Rh1 Rh 0.5000 0.5000 0.5000
N1 N 0.0000 0.0000 0.0000
```

Output
- space group = Pm-3m, No. 221
- crystal system = cubic
- formation energy without anion corrections (eV/atom) = -0.892



Number 1: calculated total energy -56.1 eV/cell, Fermi-level density of states 11.96 states/eV per cell. Number 2: calculated total energy -83.8 eV/cell, Fermi-level density of states 5.58 states/eV per cell. Number 3: calculated total energy -3.4 eV/cell, Fermi-level density of states 3.83 states/eV per cell. Number 4: calculated total energy -21.1 eV/cell, Fermi-level density of states 1.32 states/eV per cell. Number 5: calculated total energy -22.1 eV/cell, Fermi-level density of states 4.74 states/eV per cell. Number 6: calculated total energy -20.5 eV/cell, Fermi-level density of states 5.73 states/eV per cell. Number 7: calculated total energy -38.4 eV/cell, Fermi-level density of states 3.42 states/eV per cell. Number 8: calculated total energy -45.8 eV/cell, Fermi-level density of states 2.84 states/eV per cell.